VASP calculation (PBE) on crystalline SrTe2Cl at its relaxed geometry.

Structure (POSCAR):
```
SrTe2Cl
1.0
2.0981 1.2114 10.0884
-2.0981 1.2114 10.0884
0.0000 -2.4227 10.0884
Sr Te Cl
1 2 1
direct
0.0000 0.0000 0.0000
0.4818 0.4818 0.4818
0.7448 0.7448 0.7448
0.2834 0.2834 0.2834
```

Computed properties:
As for the volume: 38.5 Å³ per atom. The calculated total energy is -3.2884 eV/atom. Its energy above the most stable polymorph in this dataset is 410.4 meV/atom. Its uncorrected formation energy is -0.8354 eV/atom.